[1]
The following is a GGA-PBE calculation of a relaxed structure of Pm5Pr2Tl4, from the Alexandria database.

abc: 3.568 8.831 10.783
angles: 83.86 90.00 90.00
Sites, in units of the cell vectors:
Tl: 0.500 0.202 0.114
Tl: 0.500 0.750 0.420
Tl: 0.500 0.798 0.886
Tl: 0.500 0.250 0.580
Pm: 0.000 0.500 0.000
Pm: 0.000 0.463 0.334
Pm: 0.000 0.837 0.143
Pm: 0.000 0.163 0.857
Pm: 0.000 0.537 0.666
Pr: 0.000 0.087 0.361
Pr: 0.000 0.913 0.639

Calculated values
The calculation puts the density of states at the Fermi level at 12.83 states/eV/f.u. Its raw total energy is -4.082 eV per atom. As for the spin magnetization: 0.0 μB/f.u. The calculation puts the energy above the lowest structure with this stoichiometry at 0.00 kcal/mol of atoms. The calculation puts the calculated formation energy at -0.1929 eV/atom.

[2]
The following is a GGA-PBE calculation of a relaxed structure of Tb3Pr2DyBi6, from the Alexandria database.

abc: 4.542 9.080 10.148
angles: 102.88 102.93 90.00
Sites, in units of the cell vectors:
Pr: 0.834 0.668 0.669
Pr: 0.166 0.332 0.331
Bi: 0.997 0.247 0.994
Bi: 0.335 0.411 0.671
Bi: 0.003 0.753 0.006
Bi: 0.666 0.076 0.331
Bi: 0.665 0.589 0.329
Bi: 0.334 0.924 0.669
Dy: 0.500 0.000 0.000
Tb: 0.500 0.500 0.000
Tb: 0.168 0.834 0.336
Tb: 0.832 0.166 0.664

Calculated values
The calculation puts the density of states at the Fermi level at 2.03 states/eV/f.u. Its raw total energy is -5.176 eV per atom. As for the spin magnetization: 0.0 μB/f.u. The calculation puts the calculated formation energy at -0.8983 eV/atom.

[3]
The following is a GGA-PBE calculation of a relaxed structure of Ta2PbAu, from the Alexandria database.

abc: 6.216 6.216 7.513
angles: 65.56 65.56 90.00
Sites, in units of the cell vectors:
Pb: 0.000 0.000 0.000
Pb: 0.750 0.250 0.500
Ta: 0.587 0.125 0.250
Ta: 0.163 0.625 0.250
Ta: 0.875 0.837 0.750
Ta: 0.375 0.413 0.750
Au: 0.500 0.500 0.000
Au: 0.250 0.750 0.500

Calculated values
The calculation puts the density of states at the Fermi level at 3.89 states/eV/f.u. Its raw total energy is -6.161 eV per atom. As for the spin magnetization: 0.0 μB/f.u. The calculation puts the calculated formation energy at 1.5114 eV/atom.

[4]
The following is a GGA-PBE calculation of a relaxed structure of NaSmMg17, from the Alexandria database.

abc: 7.860 7.860 7.860
angles: 82.17 82.17 82.17
Sites, in units of the cell vectors:
Mg: 0.696 0.999 0.303
Mg: 0.505 0.993 0.993
Mg: 0.901 0.901 0.901
Mg: 0.303 0.999 0.696
Mg: 0.842 0.351 0.351
Mg: 0.999 0.303 0.696
Mg: 0.999 0.696 0.303
Mg: 0.099 0.099 0.099
Mg: 0.651 0.651 0.158
Mg: 0.351 0.842 0.351
Mg: 0.158 0.651 0.651
Mg: 0.993 0.993 0.505
Mg: 0.351 0.351 0.842
Mg: 0.993 0.505 0.993
Mg: 0.696 0.303 0.999
Mg: 0.303 0.696 0.999
Mg: 0.651 0.158 0.651
Sm: 0.670 0.670 0.670
Na: 0.340 0.340 0.340

Calculated values
The calculation puts the density of states at the Fermi level at 8.42 states/eV/f.u. Its raw total energy is -1.733 eV per atom. As for the spin magnetization: 0.0 μB/f.u. The calculation puts the calculated formation energy at 0.0113 eV/atom.

[5]
The following is a GGA-PBE calculation of a relaxed structure of DyMgSn2Rh4, from the Alexandria database.

abc: 4.582 4.582 8.016
angles: 73.39 73.39 60.00
Sites, in units of the cell vectors:
Rh: 0.619 0.619 0.142
Rh: 0.873 0.873 0.380
Rh: 0.381 0.381 0.858
Rh: 0.127 0.127 0.620
Sn: 0.247 0.247 0.258
Sn: 0.753 0.753 0.742
Mg: 0.500 0.500 0.500
Dy: 0.000 0.000 0.000

Calculated values
The calculation puts the density of states at the Fermi level at 6.06 states/eV/f.u. Its raw total energy is -6.157 eV per atom. As for the spin magnetization: 0.0 μB/f.u. The calculation puts the calculated formation energy at -0.7062 eV/atom.

[6]
The following is a GGA-PBE calculation of a relaxed structure of Ti2Mn2Pt, from the Alexandria database.

abc: 3.071 3.071 8.195
angles: 79.20 79.20 90.00
Sites, in units of the cell vectors:
Ti: 0.391 0.391 0.217
Ti: 0.609 0.609 0.783
Mn: 0.750 0.250 0.500
Mn: 0.250 0.750 0.500
Pt: 0.000 0.000 0.000

Calculated values
The calculation puts the density of states at the Fermi level at 6.63 states/eV/f.u. Its raw total energy is -8.136 eV per atom. As for the spin magnetization: 0.0 μB/f.u. The calculation puts the energy above the lowest structure with this stoichiometry at 5.37 kcal/mol of atoms. The calculation puts the calculated formation energy at -0.1021 eV/atom.

[7]
The following is a GGA-PBE calculation of a relaxed structure of LiTl2Ir, from the Alexandria database.

abc: 4.498 4.504 3.778
angles: 90.00 90.00 90.00
Sites, in units of the cell vectors:
Tl: 0.000 0.000 0.000
Tl: 0.500 0.500 0.000
Li: 0.000 0.500 0.500
Ir: 0.500 0.000 0.500

Calculated values
The calculation puts the density of states at the Fermi level at 2.39 states/eV/f.u. Its raw total energy is -3.686 eV per atom. As for the spin magnetization: 0.0 μB/f.u. The calculation puts the calculated formation energy at 0.1909 eV/atom.

[8]
The following is a GGA-PBE calculation of a relaxed structure of Er3TmSc2Te6, from the Alexandria database.

abc: 4.259 8.558 9.541
angles: 103.01 102.90 90.00
Sites, in units of the cell vectors:
Te: 0.669 0.576 0.338
Te: 0.004 0.251 0.009
Te: 0.996 0.749 0.991
Te: 0.332 0.910 0.664
Te: 0.668 0.090 0.336
Te: 0.331 0.424 0.662
Er: 0.836 0.171 0.673
Er: 0.500 0.500 0.000
Er: 0.164 0.829 0.327
Sc: 0.167 0.334 0.335
Sc: 0.833 0.666 0.665
Tm: 0.500 0.000 0.000

Calculated values
The calculation puts the density of states at the Fermi level at 7.14 states/eV/f.u. Its raw total energy is -5.305 eV per atom. As for the spin magnetization: 0.0 μB/f.u.

[9]
The following is a GGA-PBE calculation of a relaxed structure of CrPd2Au6, from the Alexandria database.

abc: 4.041 6.532 6.446
angles: 107.05 108.27 90.00
Each line ends with the local moment (μB).
Sites, in units of the cell vectors:
Au: 0.608 0.169 0.216  0.02
Au: 0.280 0.168 0.559  0.02
Au: 0.392 0.831 0.784  0.02
Au: 0.839 0.498 0.678  0.03
Au: 0.161 0.502 0.322  0.03
Au: 0.720 0.832 0.441  0.02
Cr: 0.500 0.500 0.000  3.49
Pd: 0.946 0.171 0.892  0.03
Pd: 0.054 0.829 0.108  0.03

Calculated values
The calculation puts the density of states at the Fermi level at 4.91 states/eV/f.u. Its raw total energy is -4.456 eV per atom. As for the spin magnetization: 4.0 μB/f.u. The calculation puts the energy above the lowest structure with this stoichiometry at 0.00 kcal/mol of atoms. The calculation puts the calculated formation energy at -0.0479 eV/atom.

[10]
The following is a GGA-PBE calculation of a relaxed structure of MgOsSeN2, from the Alexandria database.

abc: 3.808 3.808 5.488
angles: 90.00 90.00 90.00
Sites, in units of the cell vectors:
Se: 0.000 0.000 0.500
Mg: 0.500 0.500 0.500
Os: 0.000 0.000 0.000
N: 0.000 0.500 0.000
N: 0.500 0.000 0.000

Calculated values
The calculation puts the density of states at the Fermi level at 2.99 states/eV/f.u. Its raw total energy is -6.394 eV per atom. As for the spin magnetization: 0.0 μB/f.u. The calculation puts the energy above the lowest structure with this stoichiometry at 0.00 kcal/mol of atoms.

[11]
The following is a GGA-PBE calculation of a relaxed structure of PrHoGe2Rh5, from the Alexandria database.

abc: 4.221 4.221 9.009
angles: 90.00 90.00 90.00
Sites, in units of the cell vectors:
Rh: 0.000 0.500 0.735
Rh: 0.000 0.500 0.265
Rh: 0.500 0.500 0.500
Rh: 0.500 0.000 0.265
Rh: 0.500 0.000 0.735
Ho: 0.000 0.000 0.000
Pr: 0.000 0.000 0.500
Ge: 0.500 0.500 0.139
Ge: 0.500 0.500 0.861

Calculated values
The calculation puts the density of states at the Fermi level at 6.14 states/eV/f.u. Its raw total energy is -6.820 eV per atom. As for the spin magnetization: 0.0 μB/f.u. The calculation puts the calculated formation energy at -0.6704 eV/atom.

[12]
The following is a GGA-PBE calculation of a relaxed structure of Tb3YEr2P6, from the Alexandria database.

abc: 6.938 6.938 6.938
angles: 99.58 99.58 119.99
Sites, in units of the cell vectors:
P: 0.918 0.583 0.753
P: 0.583 0.918 0.753
P: 0.253 0.253 0.753
P: 0.082 0.417 0.247
P: 0.747 0.747 0.247
P: 0.417 0.082 0.247
Er: 0.667 0.333 0.000
Er: 0.333 0.667 0.000
Tb: 0.166 0.834 0.500
Tb: 0.500 0.500 0.500
Tb: 0.834 0.166 0.500
Y: 0.000 0.000 0.000

Calculated values
The calculation puts the density of states at the Fermi level at 1.71 states/eV/f.u. Its raw total energy is -6.776 eV per atom. As for the spin magnetization: 0.0 μB/f.u. The calculation puts the calculated formation energy at -1.6143 eV/atom.